[1]
VASP calculation (PBE) on a geometry-optimized ZnSiRh2 structure.

The structure in CIF format:
```
data_ZnSiRh2
_space_group_name_H-M_alt 'P 1'
_space_group_IT_number 1
_space_group_name_Hall 'P 1'
_cell_length_a 8.4273
_cell_length_b 8.4273
_cell_length_c 8.4273
_cell_angle_alpha 19.27
_cell_angle_beta 19.27
_cell_angle_gamma 19.27
loop_
_atom_site_label
_atom_site_fract_x
_atom_site_fract_y
_atom_site_fract_z
_atom_site_occupancy
Zn1 0.7508 0.7508 0.7508 1
Rh1 0.2424 0.2424 0.2424 1
Rh2 0.0021 0.0021 0.0021 1
Si1 0.5047 0.5047 0.5047 1
```

Calculated values
For the relative energy among the computed polymorphs, the calculation gives 509 meV per atom. The magnetic moment comes out at 0.4 μB/cell. The symmetry is R3m. For the volume, the calculation gives 14.2 Å³ per atom. The value obtained for the uncorrected formation energy is -168 meV per atom.

[2]
VASP calculation (PBE) on a geometry-optimized Ca12Te3C5 structure.

The structure in CIF format:
```
data_Ca12Te3C5
_space_group_name_H-M_alt 'P 1'
_space_group_IT_number 1
_space_group_name_Hall 'P 1'
_cell_length_a 14.1787
_cell_length_b 14.1787
_cell_length_c 14.1787
_cell_angle_alpha 109.47
_cell_angle_beta 109.47
_cell_angle_gamma 109.47
loop_
_atom_site_label
_atom_site_fract_x
_atom_site_fract_y
_atom_site_fract_z
_atom_site_occupancy
Ca1 0.6820 0.1931 0.5828 1
Ca2 0.0112 0.6103 0.6931 1
Ca3 0.9888 0.5991 0.1820 1
Ca4 0.8069 0.4888 0.3897 1
Ca5 0.5112 0.3180 0.9009 1
Ca6 0.6103 0.5991 0.9172 1
Ca7 0.5112 0.1931 0.1103 1
Ca8 0.5828 0.8897 0.4009 1
Ca9 0.3069 0.4172 0.8180 1
Ca10 0.9172 0.8180 0.8069 1
Ca11 0.4009 0.0112 0.3180 1
Ca12 0.1103 0.6931 0.5112 1
Ca13 0.4172 0.3069 0.3180 1
Ca14 0.5991 0.6103 0.4172 1
Ca15 0.9009 0.0828 0.8897 1
Ca16 0.5828 0.6931 0.6820 1
Ca17 0.3180 0.8069 0.4172 1
Ca18 0.4009 0.3897 0.5828 1
Ca19 0.8897 0.5828 0.9009 1
Ca20 0.3897 0.9888 0.8069 1
Ca21 0.5991 0.9888 0.6820 1
Ca22 0.3897 0.4009 0.0828 1
Ca23 0.0991 0.9172 0.1103 1
Ca24 0.6931 0.1103 0.0112 1
Ca25 0.1931 0.6820 0.0828 1
Ca26 0.8180 0.9009 0.0112 1
Ca27 0.4888 0.6820 0.0991 1
Ca28 0.4172 0.1103 0.5991 1
Ca29 0.3069 0.8897 0.9888 1
Ca30 0.1931 0.5112 0.6103 1
Ca31 0.1103 0.4172 0.0991 1
Ca32 0.1820 0.0991 0.9888 1
Ca33 0.6931 0.5828 0.1820 1
Ca34 0.8069 0.3180 0.9172 1
Ca35 0.0991 0.1820 0.4888 1
Ca36 0.6820 0.4888 0.5991 1
Ca37 0.8180 0.9172 0.3069 1
Ca38 0.0112 0.4009 0.8180 1
Ca39 0.1820 0.0828 0.6931 1
Ca40 0.3180 0.5112 0.4009 1
Ca41 0.0828 0.9009 0.3897 1
Ca42 0.9888 0.3897 0.3069 1
Ca43 0.4888 0.8069 0.8897 1
Ca44 0.8897 0.3069 0.4888 1
Ca45 0.9009 0.8180 0.5112 1
Ca46 0.9172 0.0991 0.6103 1
Ca47 0.0828 0.1820 0.1931 1
Ca48 0.6103 0.0112 0.1931 1
C1 0.1250 0.3750 0.2500 1
C2 0.5000 0.0000 0.0000 1
C3 0.1250 0.7500 0.3750 1
C4 0.7500 0.1250 0.8750 1
C5 0.6250 0.8750 0.2500 1
C6 0.0000 0.5000 0.5000 1
C7 0.6250 0.7500 0.8750 1
C8 0.8750 0.6250 0.7500 1
C9 0.7500 0.6250 0.3750 1
C10 0.3750 0.1250 0.7500 1
C11 0.0000 0.0000 0.5000 1
C12 0.8750 0.2500 0.6250 1
C13 0.2500 0.3750 0.6250 1
C14 0.0000 0.5000 0.0000 1
C15 0.2500 0.8750 0.1250 1
C16 0.5000 0.5000 0.5000 1
C17 0.5000 0.0000 0.5000 1
C18 0.3750 0.2500 0.1250 1
C19 0.5000 0.5000 0.0000 1
C20 0.0000 0.0000 0.0000 1
Te1 0.7500 0.8750 0.6250 1
Te2 0.6250 0.2500 0.3750 1
Te3 0.3750 0.7500 0.6250 1
Te4 0.8750 0.7500 0.1250 1
Te5 0.1250 0.2500 0.8750 1
Te6 0.2500 0.6250 0.8750 1
Te7 0.3750 0.6250 0.2500 1
Te8 0.6250 0.3750 0.7500 1
Te9 0.2500 0.1250 0.3750 1
Te10 0.8750 0.1250 0.2500 1
Te11 0.7500 0.3750 0.1250 1
Te12 0.1250 0.8750 0.7500 1
```

Calculated values
The magnetic moment comes out at 8.4 μB/cell. The symmetry is Ia-3d. For the volume, the calculation gives 27.4 Å³ per atom. The value obtained for the uncorrected formation energy is -166 meV per atom.

[3]
VASP calculation (PBE) on a geometry-optimized La4HoZn structure.

The structure in CIF format:
```
data_La4HoZn
_space_group_name_H-M_alt 'P 1'
_space_group_IT_number 1
_space_group_name_Hall 'P 1'
_cell_length_a 5.3511
_cell_length_b 5.3526
_cell_length_c 7.6242
_cell_angle_alpha 89.97
_cell_angle_beta 89.97
_cell_angle_gamma 90.00
loop_
_atom_site_label
_atom_site_fract_x
_atom_site_fract_y
_atom_site_fract_z
_atom_site_occupancy
La1 0.5014 0.9977 0.7315 1
La2 0.0011 0.4970 0.2648 1
La3 0.0014 0.4975 0.7315 1
La4 0.5013 0.9969 0.2646 1
Ho1 0.5013 0.4974 0.9982 1
Zn1 0.0013 0.9973 0.4981 1
```

Calculated values
As for the energy of formation from the pure elements: 0.301 eV/atom. For the relative energy among the computed polymorphs, the calculation gives 391 meV per atom. The magnetic moment comes out at 0.0 μB/cell. The symmetry is P4/mmm. For the volume, the calculation gives 36.4 Å³ per atom.

[4]
VASP calculation (PBE) on a geometry-optimized BeGa2SiPb structure.

The structure in CIF format:
```
data_BeGa2SiPb
_space_group_name_H-M_alt 'P 1'
_space_group_IT_number 1
_space_group_name_Hall 'P 1'
_cell_length_a 5.0853
_cell_length_b 4.1527
_cell_length_c 5.0853
_cell_angle_alpha 90.00
_cell_angle_beta 90.00
_cell_angle_gamma 90.00
loop_
_atom_site_label
_atom_site_fract_x
_atom_site_fract_y
_atom_site_fract_z
_atom_site_occupancy
Pb1 0.5000 0.5000 0.5000 1
Si1 0.0000 0.0000 0.0000 1
Be1 0.0000 0.5000 0.0000 1
Ga1 0.5000 0.0000 0.0000 1
Ga2 0.0000 0.0000 0.5000 1
```

Calculated values
The magnetic moment comes out at 0.0 μB/cell. The symmetry is P4/mmm. For the volume, the calculation gives 21.5 Å³ per atom. The value obtained for the uncorrected formation energy is 436 meV per atom.

[5]
VASP calculation (PBE) on a geometry-optimized K2NaCrCl6 structure.

The structure in CIF format:
```
data_K2NaCrCl6
_space_group_name_H-M_alt 'P 1'
_space_group_IT_number 1
_space_group_name_Hall 'P 1'
_cell_length_a 7.1949
_cell_length_b 7.1949
_cell_length_c 7.1949
_cell_angle_alpha 60.00
_cell_angle_beta 60.00
_cell_angle_gamma 60.00
loop_
_atom_site_label
_atom_site_fract_x
_atom_site_fract_y
_atom_site_fract_z
_atom_site_occupancy
Cr1 0.0000 0.0000 0.0000 1
K1 0.7500 0.7500 0.7500 1
K2 0.2500 0.2500 0.2500 1
Na1 0.5000 0.5000 0.5000 1
Cl1 0.7682 0.7682 0.2318 1
Cl2 0.2318 0.7682 0.2318 1
Cl3 0.2318 0.7682 0.7682 1
Cl4 0.7682 0.2318 0.7682 1
Cl5 0.7682 0.2318 0.2318 1
Cl6 0.2318 0.2318 0.7682 1
```

Calculated values
The magnetic moment comes out at 3.0 μB/cell. The symmetry is Fm-3m. For the volume, the calculation gives 26.3 Å³ per atom. The value obtained for the uncorrected formation energy is -1594 meV per atom.

[6]
VASP calculation (PBE) on a geometry-optimized Tb3Sm6Tm2Tl structure.

The structure in CIF format:
```
data_Tb3Sm6Tm2Tl
_space_group_name_H-M_alt 'P 1'
_space_group_IT_number 1
_space_group_name_Hall 'P 1'
_cell_length_a 6.1818
_cell_length_b 6.1818
_cell_length_c 11.7054
_cell_angle_alpha 95.11
_cell_angle_beta 95.11
_cell_angle_gamma 120.10
loop_
_atom_site_label
_atom_site_fract_x
_atom_site_fract_y
_atom_site_fract_z
_atom_site_occupancy
Sm1 0.0813 0.4102 0.2460 1
Sm2 0.9187 0.5898 0.7540 1
Sm3 0.5898 0.9187 0.7540 1
Sm4 0.7528 0.7528 0.2478 1
Sm5 0.2472 0.2472 0.7522 1
Sm6 0.4102 0.0813 0.2460 1
Tm1 0.3339 0.6661 0.0000 1
Tm2 0.6661 0.3339 0.0000 1
Tb1 0.5000 0.5000 0.5000 1
Tb2 0.1677 0.8323 0.5000 1
Tb3 0.8323 0.1677 0.5000 1
Tl1 0.0000 0.0000 0.0000 1
```

Calculated values
As for the energy of formation from the pure elements: -0.006 eV/atom. The magnetic moment comes out at 0.0 μB/cell. The symmetry is C2/m. For the volume, the calculation gives 31.7 Å³ per atom.

[7]
VASP calculation (PBE) on a geometry-optimized SrMg4ZnIn2 structure.

The structure in CIF format:
```
data_SrMg4ZnIn2
_space_group_name_H-M_alt 'P 1'
_space_group_IT_number 1
_space_group_name_Hall 'P 1'
_cell_length_a 5.0223
_cell_length_b 5.0223
_cell_length_c 9.4961
_cell_angle_alpha 74.67
_cell_angle_beta 74.67
_cell_angle_gamma 60.00
loop_
_atom_site_label
_atom_site_fract_x
_atom_site_fract_y
_atom_site_fract_z
_atom_site_occupancy
In1 0.2549 0.2549 0.2352 1
In2 0.7451 0.7451 0.7648 1
Mg1 0.5997 0.5997 0.2010 1
Mg2 0.1348 0.1348 0.5958 1
Mg3 0.8652 0.8652 0.4042 1
Mg4 0.4003 0.4003 0.7990 1
Sr1 0.0000 0.0000 0.0000 1
Zn1 0.5000 0.5000 0.5000 1
```

Calculated values
As for the energy of formation from the pure elements: -0.130 eV/atom. The magnetic moment comes out at 0.0 μB/cell. The symmetry is R-3m. For the volume, the calculation gives 24.7 Å³ per atom.

[8]
VASP calculation (PBE) on a geometry-optimized LaMgB2 structure.

The structure in CIF format:
```
data_LaMgB2
_space_group_name_H-M_alt 'P 1'
_space_group_IT_number 1
_space_group_name_Hall 'P 1'
_cell_length_a 4.3293
_cell_length_b 4.3293
_cell_length_c 8.2601
_cell_angle_alpha 74.81
_cell_angle_beta 74.81
_cell_angle_gamma 90.00
loop_
_atom_site_label
_atom_site_fract_x
_atom_site_fract_y
_atom_site_fract_z
_atom_site_occupancy
B1 0.3750 0.6252 0.7500 1
B2 0.8750 0.6248 0.7500 1
B3 0.3752 0.6250 0.2500 1
B4 0.3748 0.1250 0.2500 1
Mg1 0.5000 0.5000 0.0000 1
Mg2 0.2500 0.7500 0.5000 1
La1 0.7500 0.2500 0.5000 1
La2 0.0000 0.0000 0.0000 1
```

Calculated values
As for the energy of formation from the pure elements: 0.606 eV/atom. The magnetic moment comes out at 0.0 μB/cell. The symmetry is I4_1/amd. For the volume, the calculation gives 18.0 Å³ per atom.

Q: Which value of magnetic moment does entry 1 give?
A: 0.4 μB/cell

Q: Which value of magnetic moment does entry 3 give?
A: 0.0 μB/cell